# CePrPuSc (PBE, relaxed)
data_CePrPuSc
_chemical_formula_sum 'Ce4 Pr4 Pu4 Sc4'
_space_group_name_H-M_alt 'F -4 3 m'
_space_group_IT_number 216
_space_group_name_Hall 'F -4 2 3'
_cell_length_a 7.747
_cell_length_b 7.747
_cell_length_c 7.747
_cell_angle_alpha 90.00
_cell_angle_beta 90.00
_cell_angle_gamma 90.00
loop_
_atom_site_label
_atom_site_fract_x
_atom_site_fract_y
_atom_site_fract_z
Ce1 0.000 0.000 0.000
Pr1 0.000 0.000 0.500
Pu1 0.250 0.250 0.250
Sc1 0.250 0.250 0.750
# DFT total energy, eV/atom: -7.651
# V, A^3/atom: 29.1
# Formation enthalpy at 0 K, eV/f.u.: 0.77
# M_tot, μB/cell: 32.3